1.
KNa2MgIn: relaxed, GGA-PBE.

a b c (Å): 6.0731 6.0731 5.4875
angles (deg): 90.00 90.00 90.00
Closest atoms and distances in Å follow each position.
Atoms (fractional coordinates):
Mg: 0.0000 0.0000 0.5000  2 In 2.74
In: 0.0000 0.0000 0.0000  2 Mg 2.74, 4 Na 3.04
K: 0.5000 0.5000 0.5000  8 Na 4.09, 4 Mg 4.29
Na: 0.0000 0.5000 0.0000  2 In 3.04
Na: 0.5000 0.0000 0.0000  2 In 3.04

Summary:
DFT total energy	-1.553	eV per atom

---

2.
KNaMgIn: relaxed, GGA-PBE.

a b c (Å): 5.5539 5.5539 5.5539
angles (deg): 60.00 60.00 60.00
Closest atoms and distances in Å follow each position.
Atoms (fractional coordinates):
K: 0.7500 0.7500 0.7500  4 Na 3.40, 4 Mg 3.40
Na: 0.0000 0.0000 0.0000  4 K 3.40, 4 In 3.40
Mg: 0.5000 0.5000 0.5000  4 In 3.40, 4 K 3.40
In: 0.2500 0.2500 0.2500  4 Na 3.40, 4 Mg 3.40

Summary:
DFT total energy	-1.662	eV per atom